No. 1
Material: YPaPSe
Method: DFT, GGA-PBE
State: optimized geometry

Results
DOS at the Fermi energy   1.04 states/eV per atom
Uncorrected formation energy   -1.440 eV/atom

```
YPaPSe
1.0
1.958 1.131 7.121
-1.958 1.131 7.121
0.000 -2.261 7.121
Y Pa P Se
1 1 1 1
Cartesian
0.000 0.000 0.000
0.000 0.000 17.411
0.000 0.000 8.708
0.000 0.000 5.125
```

No. 2
Material: YMg2Al
Method: DFT, GGA-PBE
State: optimized geometry

Results
ΔE_f   -0.0486 eV/atom
DOS at the Fermi energy   0.53 states/eV per atom

```
YMg2Al
1.0
3.404 0.000 0.000
0.000 3.404 0.000
0.000 0.000 8.081
Y Mg Al
1 2 1
Cartesian
0.000 0.000 0.000
1.702 1.702 2.338
1.702 1.702 5.744
0.000 0.000 4.041
```

No. 3
Material: CaCrCd2
Method: DFT, GGA-PBE
State: optimized geometry

Results
ΔE_f   0.3892 eV/atom
DOS at the Fermi energy   0.54 states/eV per atom

```
CaCrCd2
1.0
-2.259 2.259 10.407
2.259 -2.259 10.407
2.259 2.259 -10.407
Ca Cr Cd
2 2 4
Cartesian
0.000 0.000 0.000
0.000 2.259 5.204
2.259 0.000 5.204
0.000 0.000 10.407
1.129 -0.918 7.806
1.341 1.129 2.602
1.129 3.176 -2.602
0.918 1.129 13.009
```

No. 4
Material: NdY2Tm
Method: DFT, GGA-PBE
State: optimized geometry

Results
ΔE_f   0.1291 eV/atom
DOS at the Fermi energy   2.15 states/eV per atom

```
NdY2Tm
1.0
0.000 4.035 4.035
4.035 0.000 4.035
4.035 4.035 0.000
Nd Y Tm
1 2 1
Cartesian
0.000 0.000 0.000
2.017 2.017 2.017
6.052 6.052 6.052
4.035 4.035 4.035
```

No. 5
Material: KPu3O9
Method: DFT, GGA-PBE
State: optimized geometry

Results
DOS at the Fermi energy   0.75 states/eV per atom
Uncorrected formation energy   -2.530 eV/atom

```
KPu3O9
1.0
7.962 0.000 0.000
-3.981 6.895 0.000
0.000 0.000 4.135
K Pu O
1 3 9
Cartesian
0.000 0.000 0.000
-1.990 3.447 2.068
3.981 0.000 2.068
1.990 3.447 2.068
-1.990 3.447 0.000
0.000 2.828 2.068
-1.532 5.481 2.068
2.449 1.414 2.068
3.981 0.000 0.000
1.990 3.447 0.000
1.532 5.481 2.068
5.513 1.414 2.068
3.981 4.067 2.068
```

No. 6
Material: NdErPa2Sb4
Method: DFT, GGA-PBE
State: optimized geometry

Results
DOS at the Fermi energy   1.53 states/eV per atom
Uncorrected formation energy   -0.770 eV/atom

```
NdErPa2Sb4
1.0
7.610 0.000 0.000
0.000 4.394 0.000
-2.537 0.000 7.234
Nd Er Pa Sb
1 1 2 4
Cartesian
0.000 0.000 0.000
3.805 2.197 0.000
-1.269 2.197 3.617
2.537 0.000 3.617
0.040 0.000 5.423
1.309 2.197 1.840
3.765 2.197 5.394
5.034 0.000 1.811
```

No. 7
Material: Rb3Sm3TaO8
Method: DFT, GGA-PBE
State: optimized geometry

Results
DOS at the Fermi energy   0.15 states/eV per atom
Uncorrected formation energy   -2.621 eV/atom

```
Rb3Sm3TaO8
1.0
3.489 2.015 6.733
-3.489 2.015 6.733
0.000 -4.029 6.733
Rb Sm Ta O
3 3 1 8
Cartesian
-1.745 -1.007 6.733
-1.745 1.007 13.465
0.000 2.015 6.733
-3.489 0.000 10.099
-1.745 1.007 3.366
1.745 1.007 3.366
0.000 0.000 10.099
0.000 0.000 4.595
-1.509 -0.871 11.179
0.000 -1.742 9.019
-1.509 0.871 9.019
1.509 -0.871 11.179
0.000 1.742 11.179
1.509 0.871 9.019
0.000 0.000 15.602
```

No. 8
Material: AgP2Ir
Method: DFT, GGA-PBE
State: optimized geometry

Results
ΔE_f   0.2525 eV/atom
DOS at the Fermi energy   0.44 states/eV per atom

```
AgP2Ir
1.0
2.895 0.000 0.000
0.000 3.869 0.000
0.000 0.000 5.694
Ag P Ir
1 2 1
Cartesian
0.000 0.000 0.000
0.000 0.000 2.636
1.447 1.934 4.485
1.447 1.934 2.113
```

No. 9
Material: Tm3Hg2Pd2
Method: DFT, GGA-PBE
State: optimized geometry

Results
ΔE_f   -0.6937 eV/atom
DOS at the Fermi energy   0.37 states/eV per atom

```
Tm3Hg2Pd2
1.0
1.953 -11.182 0.000
1.953 11.182 0.000
0.000 0.000 3.632
Tm Hg Pd
3 2 2
Cartesian
0.000 0.000 0.000
1.953 7.456 0.000
1.953 -7.456 0.000
1.953 1.757 1.816
1.953 -1.757 1.816
1.953 4.670 1.816
1.953 -4.670 1.816
```

No. 10
Material: Mg2FeP
Method: DFT, GGA-PBE
State: optimized geometry

Results
ΔE_f   -0.1158 eV/atom
DOS at the Fermi energy   0.53 states/eV per atom

```
Mg2FeP
1.0
5.138 -1.564 0.000
5.138 1.564 0.000
-1.896 0.000 3.994
Mg Fe P
2 1 1
Cartesian
0.000 0.000 0.000
0.822 0.000 2.837
3.669 0.000 1.749
7.441 0.000 1.094
```

No. 11
Material: LiEuTmPt
Method: DFT, GGA-PBE
State: optimized geometry

Results
ΔE_f   -0.5699 eV/atom
DOS at the Fermi energy   1.03 states/eV per atom

```
LiEuTmPt
1.0
0.000 3.549 3.549
3.549 0.000 3.549
3.549 3.549 0.000
Li Eu Tm Pt
1 1 1 1
Cartesian
0.000 0.000 0.000
1.774 1.774 1.774
5.323 5.323 5.323
3.549 3.549 3.549
```

No. 12
Material: Na2Zn2Ru
Method: DFT, GGA-PBE
State: optimized geometry

Results
ΔE_f   0.3377 eV/atom
DOS at the Fermi energy   0.24 states/eV per atom

```
Na2Zn2Ru
1.0
6.519 0.000 0.000
0.000 6.519 0.000
0.000 0.000 4.849
Na Zn Ru
4 4 2
Cartesian
1.175 2.084 0.000
2.084 5.343 0.000
4.434 1.175 0.000
5.343 4.434 0.000
0.960 4.219 2.424
2.299 0.960 2.424
4.219 5.559 2.424
5.559 2.299 2.424
0.000 0.000 2.424
3.259 3.259 2.424
```

no.,magnetization (μB per formula unit),volume (Å³/atom)
1,0.86,23.6
2,0.24,23.4
3,4.38,26.5
4,0.00,32.8
5,7.00,17.5
6,1.90,30.2
7,0.00,18.9
8,0.00,15.9
9,0.00,22.7
10,1.24,16.0
11,6.97,22.3
12,0.05,20.6